Entry 1:
DFT (GGA-PBE) results for a relaxed structure of LiHo2Al4Au3.

Geometry as POSCAR:
```
LiHo2Al4Au3
1.0
-2.459 0.402 3.369
-2.670 -2.797 -1.615
5.534 -8.180 5.017
Li Ho Al Au
1 2 4 3
direct
0.500 0.500 0.500 Li
0.500 0.000 0.249 Ho
0.000 0.500 0.751 Ho
0.500 0.500 0.000 Al
0.000 0.000 0.000 Al
0.500 0.000 0.636 Al
0.000 0.500 0.364 Al
0.000 0.000 0.500 Au
0.500 0.000 0.861 Au
0.000 0.500 0.139 Au
```

Values from the calculation:
Size of the total moment   0.000 μB/cell
SG   P-4m2, No. 115
ΔH_f (0 K)   -0.620 eV per atom
N(E_F)   5.13 states/eV/cell

Entry 2:
DFT (GGA-PBE) results for a relaxed structure of LiHo2Al3Au4.

Geometry as POSCAR:
```
LiHo2Al3Au4
1.0
-0.884 -2.707 -3.250
-0.953 -3.107 2.847
-10.088 3.181 0.096
Li Ho Al Au
1 2 3 4
direct
0.500 0.500 0.500 Li
0.500 0.000 0.243 Ho
0.000 0.500 0.757 Ho
0.000 0.000 0.500 Al
0.500 0.000 0.867 Al
0.000 0.500 0.133 Al
0.500 0.500 0.000 Au
0.000 0.000 0.000 Au
0.500 0.000 0.634 Au
0.000 0.500 0.366 Au
```

Values from the calculation:
Size of the total moment   0.000 μB/cell
SG   P-4m2, No. 115
ΔH_f (0 K)   -0.643 eV per atom
N(E_F)   6.29 states/eV/cell

Entry 3:
DFT (GGA-PBE) results for a relaxed structure of LiHoAl2Au2.

Geometry as POSCAR:
```
LiHoAl2Au2
1.0
4.475 0.000 0.000
-2.237 3.875 0.000
0.000 0.000 6.452
Li Ho Al Au
1 1 2 2
direct
0.000 0.000 0.000 Li
0.000 0.000 0.500 Ho
0.333 0.667 0.810 Al
0.667 0.333 0.190 Al
0.333 0.667 0.232 Au
0.667 0.333 0.768 Au
```

Values from the calculation:
Size of the total moment   0.000 μB/cell
SG   P-3m1, No. 164
ΔH_f (0 K)   -0.670 eV per atom
N(E_F)   3.53 states/eV/cell

Entry 4:
DFT (GGA-PBE) results for a relaxed structure of LiHoAl2Au4.

Geometry as POSCAR:
```
LiHoAl2Au4
1.0
-2.115 3.427 1.910
-4.226 -0.457 1.342
0.549 -1.557 8.604
Li Ho Al Au
1 1 2 4
direct
0.500 0.500 0.500 Li
0.000 0.000 0.000 Ho
0.759 0.759 0.723 Al
0.241 0.241 0.277 Al
0.395 0.395 0.815 Au
0.868 0.868 0.397 Au
0.132 0.132 0.603 Au
0.605 0.605 0.185 Au
```

Values from the calculation:
Size of the total moment   0.000 μB/cell
SG   R-3m, No. 166
ΔH_f (0 K)   -0.638 eV per atom
N(E_F)   3.51 states/eV/cell

Entry 5:
DFT (GGA-PBE) results for a relaxed structure of LiHoAlAu2.

Geometry as POSCAR:
```
LiHoAlAu2
1.0
-0.749 -3.441 1.708
-1.270 -1.421 -3.419
6.872 0.477 -0.510
Li Ho Al Au
1 1 1 2
direct
0.250 0.750 0.500 Li
0.000 0.000 0.000 Ho
0.750 0.250 0.500 Al
0.612 0.612 0.224 Au
0.388 0.388 0.776 Au
```

Values from the calculation:
Size of the total moment   0.000 μB/cell
SG   I-4m2, No. 119
ΔH_f (0 K)   -0.660 eV per atom
N(E_F)   2.86 states/eV/cell

Entry 6:
DFT (GGA-PBE) results for a relaxed structure of Li2HoAl2Au2.

Geometry as POSCAR:
```
Li2HoAl2Au2
1.0
4.514 0.000 0.000
-2.257 3.902 -0.334
0.000 -1.936 7.370
Li Ho Al Au
2 1 2 2
direct
0.142 0.284 0.429 Li
0.858 0.716 0.571 Li
0.000 0.000 0.000 Ho
0.574 0.148 0.720 Al
0.426 0.852 0.280 Al
0.739 0.478 0.218 Au
0.261 0.522 0.782 Au
```

Values from the calculation:
Size of the total moment   0.000 μB/cell
SG   C2/m, No. 12
ΔH_f (0 K)   -0.596 eV per atom
N(E_F)   2.48 states/eV/cell

Entry 7:
DFT (GGA-PBE) results for a relaxed structure of HoLuAlAu.

Geometry as POSCAR:
```
HoLuAlAu
1.0
-3.944 3.135 -0.510
-3.530 -0.922 -3.512
-4.629 -1.506 1.397
Lu Au Ho Al
1 1 1 1
direct
0.250 0.250 0.250 Lu
0.000 0.000 0.000 Au
0.750 0.750 0.750 Ho
0.500 0.500 0.500 Al
```

Values from the calculation:
Size of the total moment   0.000 μB/cell
SG   F-43m, No. 216
ΔH_f (0 K)   -0.584 eV per atom
N(E_F)   1.92 states/eV/cell

Entry 8:
DFT (GGA-PBE) results for a relaxed structure of HoMgAl2Au2.

Geometry as POSCAR:
```
HoMgAl2Au2
1.0
-2.314 -3.189 -2.175
3.601 1.882 -1.934
3.870 -4.642 2.688
Ho Mg Al Au
1 1 2 2
direct
0.000 0.000 0.000 Ho
0.000 0.000 0.500 Mg
0.333 0.667 0.719 Al
0.667 0.333 0.281 Al
0.333 0.667 0.267 Au
0.667 0.333 0.733 Au
```

Values from the calculation:
Size of the total moment   0.000 μB/cell
SG   P-3m1, No. 164
ΔH_f (0 K)   -0.628 eV per atom
N(E_F)   2.59 states/eV/cell

The following final energy values (in eV/atom) correspond, in order, to the records above: -4.21; -4.18; -4.09; -4.02; -4.02; -3.80; -4.61; -4.00.